! PrNdAgBi, relaxed, DFT PBE; values from VASP
&SYSTEM
  ibrav = 0, nat = 4, ntyp = 4
/
ATOMIC_SPECIES
Nd 144.24 Nd.upf
Ag 107.87 Ag.upf
Bi 208.98 Bi.upf
Pr 140.91 Pr.upf
ATOMIC_POSITIONS crystal
Nd 0.500 0.500 0.500
Ag 0.250 0.250 0.250
Bi 0.750 0.750 0.750
Pr 0.000 0.000 0.000
CELL_PARAMETERS angstrom
-3.507 -4.195 0.122
-0.815 -2.749 4.657
-4.751 0.484 2.666
! energy relative to the elements: -0.50 eV/atom
! calculated volume: 115.68 Å³ per cell
! raw total energy: -4.5696 eV per atom
! crystal system: cubic

***

! NdPuAgBi, relaxed, DFT PBE; values from VASP
&SYSTEM
  ibrav = 0, nat = 4, ntyp = 4
/
ATOMIC_SPECIES
Bi 208.98 Bi.upf
Pu 244.00 Pu.upf
Nd 144.24 Nd.upf
Ag 107.87 Ag.upf
ATOMIC_POSITIONS crystal
Bi 0.750 0.750 0.750
Pu 0.000 0.000 0.000
Nd 0.500 0.500 0.500
Ag 0.250 0.250 0.250
CELL_PARAMETERS angstrom
5.422 0.000 0.000
2.711 4.696 0.000
2.711 1.565 4.427
! energy relative to the elements: -0.32 eV/atom
! calculated volume: 112.73 Å³ per cell
! raw total energy: -6.7764 eV per atom
! crystal system: cubic

***

! NdAg2BiS4, relaxed, DFT PBE; values from VASP
&SYSTEM
  ibrav = 0, nat = 8, ntyp = 4
/
ATOMIC_SPECIES
Nd 144.24 Nd.upf
Ag 107.87 Ag.upf
S 32.06 S.upf
Bi 208.98 Bi.upf
ATOMIC_POSITIONS crystal
Nd 0.000 0.500 0.500
Ag 0.500 0.000 0.500
Ag 0.000 0.000 0.000
S 0.500 0.249 0.754
S 0.000 0.757 0.747
S 0.000 0.243 0.253
Bi 0.500 0.500 0.000
S 0.500 0.751 0.246
CELL_PARAMETERS angstrom
-2.817 1.742 -2.441
3.325 -2.137 -5.364
-2.225 -6.459 -2.042
! formation energy (no corrections): -730 meV/atom
! calculated volume: 181.97 Å³ per cell
! raw total energy: -4.5878 eV per atom
! crystal system: monoclinic

***

! NdScAgBi, relaxed, DFT PBE; values from VASP
&SYSTEM
  ibrav = 0, nat = 4, ntyp = 4
/
ATOMIC_SPECIES
Nd 144.24 Nd.upf
Ag 107.87 Ag.upf
Sc 44.96 Sc.upf
Bi 208.98 Bi.upf
ATOMIC_POSITIONS crystal
Nd 0.750 0.750 0.750
Ag 0.500 0.500 0.500
Sc 0.250 0.250 0.250
Bi 0.000 0.000 0.000
CELL_PARAMETERS angstrom
-4.771 -0.252 -2.210
-4.181 -1.328 2.909
-3.641 3.614 1.180
! energy relative to the elements: -0.38 eV/atom
! calculated volume: 103.15 Å³ per cell
! raw total energy: -4.8375 eV per atom
! crystal system: cubic

***

! Nd2Ag3BiSe6, relaxed, DFT PBE; values from VASP
&SYSTEM
  ibrav = 0, nat = 12, ntyp = 4
/
ATOMIC_SPECIES
Se 78.96 Se.upf
Nd 144.24 Nd.upf
Bi 208.98 Bi.upf
Ag 107.87 Ag.upf
ATOMIC_POSITIONS crystal
Se 0.664 0.573 0.328
Se 0.003 0.745 0.005
Nd 0.168 0.318 0.336
Bi 0.500 0.000 0.000
Se 0.997 0.255 0.995
Se 0.668 0.065 0.335
Ag 0.175 0.803 0.350
Ag 0.825 0.197 0.650
Nd 0.832 0.682 0.664
Se 0.336 0.427 0.672
Se 0.332 0.935 0.665
Ag 0.500 0.500 0.000
CELL_PARAMETERS angstrom
-3.852 -1.038 -1.556
-1.464 -4.496 6.621
-1.327 8.292 3.645
! formation energy (no corrections): -858 meV/atom
! calculated volume: 306.36 Å³ per cell
! raw total energy: -4.4313 eV per atom
! crystal system: monoclinic

***

! NdAg2BiSe4, relaxed, DFT PBE; values from VASP
&SYSTEM
  ibrav = 0, nat = 8, ntyp = 4
/
ATOMIC_SPECIES
Se 78.96 Se.upf
Bi 208.98 Bi.upf
Ag 107.87 Ag.upf
Nd 144.24 Nd.upf
ATOMIC_POSITIONS crystal
Se 0.000 0.238 0.253
Se 0.500 0.244 0.754
Bi 0.500 0.500 0.000
Ag 0.000 0.000 0.000
Nd 0.000 0.500 0.500
Ag 0.500 0.000 0.500
Se 0.000 0.762 0.747
Se 0.500 0.756 0.246
CELL_PARAMETERS angstrom
4.265 0.000 0.000
0.000 6.962 0.019
0.000 2.614 6.893
! formation energy (no corrections): -703 meV/atom
! calculated volume: 204.43 Å³ per cell
! raw total energy: -4.2393 eV per atom
! crystal system: monoclinic

***

- The lowest calculated volume belongs to which entry?
  NdScAgBi

***

- Which formula does entry 3 have?
  NdAg2BiS4

***

- What is the calculated volume in the fifth record?
  306.36 Å³ per cell